1.
This record from the Alexandria database describes a relaxed structure of BeInRe2. The functional is GGA-PBEsol.

a = 3.7498 Å, b = 3.7498 Å, c = 4.2102 Å
α = 90.00°, β = 90.00°, γ = 90.00°
Positions (direct):
Be (0.5000, 0.5000, 0.5000)
Re (0.5000, 0.0000, 0.0000)
In (0.0000, 0.0000, 0.5000)
Re (0.0000, 0.5000, 0.0000)

Summary:
M_tot: 0.00 μB per formula unit
energy above the most stable polymorph in this dataset: 261.5 meV per atom
space-group type: P4/mmm, No. 123

=====

2.
This record from the Alexandria database describes a relaxed structure of YBeTe2N. The functional is GGA-PBEsol.

a = 3.1759 Å, b = 5.5457 Å, c = 5.5457 Å
α = 90.00°, β = 90.00°, γ = 90.00°
Positions (direct):
Y (0.5000, 0.5000, 0.5000)
N (0.5000, 0.0000, 0.0000)
Be (0.0000, 0.0000, 0.0000)
Te (0.0000, 0.5000, 0.0000)
Te (0.0000, 0.0000, 0.5000)

Summary:
M_tot: 0.00 μB per formula unit
space-group type: P4/mmm, No. 123
total DFT energy (no corrections): -5.53 eV/atom

=====

3.
This record from the Alexandria database describes a relaxed structure of Hf2InH2. The functional is GGA-PBEsol.

a = 3.7415 Å, b = 3.7415 Å, c = 5.4145 Å
α = 110.21°, β = 110.21°, γ = 90.00°
Positions (direct):
H (0.2500, 0.7500, 0.5000)
In (0.0000, 0.0000, 0.0000)
H (0.7500, 0.2500, 0.5000)
Hf (0.6657, 0.6657, 0.3315)
Hf (0.3343, 0.3343, 0.6685)

Summary:
M_tot: 0.00 μB per formula unit
space-group type: I4/mmm, No. 139
total DFT energy (no corrections): -6.50 eV/atom

=====

4.
This record from the Alexandria database describes a relaxed structure of Al8Ru. The functional is GGA-PBEsol.

a = 3.8855 Å, b = 6.2622 Å, c = 6.2622 Å
α = 84.48°, β = 71.93°, γ = 71.93°
Positions (direct):
Al (0.3412, 0.0000, 0.3175)
Al (0.3412, 0.3175, 0.0000)
Ru (0.0000, 0.0000, 0.0000)
Al (0.0000, 0.6762, 0.3238)
Al (0.3238, 0.6762, 0.6762)
Al (0.6588, 0.6825, 0.0000)
Al (0.6588, 0.0000, 0.6825)
Al (0.0000, 0.3238, 0.6762)
Al (0.6762, 0.3238, 0.3238)

Summary:
M_tot: 0.00 μB per formula unit
space-group type: I4/mmm, No. 139
total DFT energy (no corrections): -4.92 eV/atom

=====

5.
This record from the Alexandria database describes a relaxed structure of Si2OsCl. The functional is GGA-PBEsol.

a = 2.9463 Å, b = 2.9463 Å, c = 6.9601 Å
α = 90.00°, β = 90.00°, γ = 90.00°
Positions (direct):
Si (0.0000, 0.0000, 0.7094)
Si (0.0000, 0.0000, 0.2906)
Cl (0.5000, 0.5000, 0.0000)
Os (0.5000, 0.5000, 0.5000)

Summary:
M_tot: 0.00 μB per formula unit
energy above the most stable polymorph in this dataset: 0.0 meV per atom
space-group type: P4/mmm, No. 123

=====

6.
This record from the Alexandria database describes a relaxed structure of LiCdIr2. The functional is GGA-PBEsol.

a = 2.8026 Å, b = 4.5731 Å, c = 4.6151 Å
α = 90.00°, β = 90.00°, γ = 90.00°
Positions (direct):
Cd (0.0000, 0.5000, 0.5000)
Ir (0.0000, 0.0000, 0.0000)
Ir (0.5000, 0.5000, 0.0000)
Li (0.5000, 0.0000, 0.5000)

Summary:
M_tot: 0.00 μB per formula unit
space-group type: Pmmm, No. 47
total DFT energy (no corrections): -5.67 eV/atom

=====

7.
This record from the Alexandria database describes a relaxed structure of KSc2Tl. The functional is GGA-PBEsol.

a = 3.4961 Å, b = 3.4961 Å, c = 9.5807 Å
α = 90.00°, β = 90.00°, γ = 90.00°
Last column: magnetic moment on the atom in μB.
Positions (direct):
K (0.5000, 0.5000, 0.2789)  0.01
Tl (0.0000, 0.0000, 0.5536)  0.00
Sc (0.5000, 0.5000, 0.7343)  0.25
Sc (0.0000, 0.0000, 0.9332)  0.40

Summary:
M_tot: 1.16 μB per formula unit
energy above the most stable polymorph in this dataset: 0.0 meV per atom
space-group type: P4mm, No. 99

=====

8.
This record from the Alexandria database describes a relaxed structure of Ca2Ga2Pb. The functional is GGA-PBEsol.

a = 4.6001 Å, b = 7.3562 Å, c = 7.3562 Å
α = 90.00°, β = 90.00°, γ = 90.00°
Positions (direct):
Ga (0.0000, 0.1209, 0.3791)
Ga (0.0000, 0.8791, 0.6209)
Pb (0.0000, 0.0000, 0.0000)
Ca (0.5000, 0.3246, 0.1754)
Ga (0.0000, 0.6209, 0.1209)
Ca (0.5000, 0.6754, 0.8246)
Ca (0.5000, 0.8246, 0.3246)
Ga (0.0000, 0.3791, 0.8791)
Ca (0.5000, 0.1754, 0.6754)
Pb (0.0000, 0.5000, 0.5000)

Summary:
M_tot: 0.00 μB per formula unit
space-group type: P4/mbm, No. 127
total DFT energy (no corrections): -3.44 eV/atom

=====

9.
This record from the Alexandria database describes a relaxed structure of NaMnGeI2. The functional is GGA-PBEsol.

a = 4.7330 Å, b = 6.0021 Å, c = 6.0021 Å
α = 90.00°, β = 90.00°, γ = 90.00°
Last column: magnetic moment on the atom in μB.
Positions (direct):
Mn (0.5000, 0.0000, 0.0000)  3.95
I (0.0000, 0.0000, 0.5000)  0.04
Na (0.5000, 0.5000, 0.5000)  0.00
I (0.0000, 0.5000, 0.0000)  0.04
Ge (0.0000, 0.0000, 0.0000)  -0.16

Summary:
M_tot: 4.18 μB per formula unit
space-group type: P4/mmm, No. 123
total DFT energy (no corrections): -3.84 eV/atom

=====

10.
This record from the Alexandria database describes a relaxed structure of PdS2Cl6. The functional is GGA-PBEsol.

a = 4.3938 Å, b = 6.7258 Å, c = 8.0900 Å
α = 103.15°, β = 96.66°, γ = 91.54°
Positions (direct):
Cl (0.0740, 0.4884, 0.2139)
Cl (0.3039, 0.1342, 0.8350)
Cl (0.2480, 0.1791, 0.4420)
Cl (0.6961, 0.8658, 0.1650)
S (0.6968, 0.7732, 0.7909)
Pd (0.0000, 0.0000, 0.0000)
Cl (0.9260, 0.5116, 0.7861)
Cl (0.7520, 0.8209, 0.5580)
S (0.3032, 0.2268, 0.2091)

Summary:
M_tot: 0.00 μB per formula unit
space-group type: P-1, No. 2
total DFT energy (no corrections): -3.28 eV/atom

=====

11.
This record from the Alexandria database describes a relaxed structure of W2BrCl. The functional is GGA-PBEsol.

a = 2.9963 Å, b = 2.9963 Å, c = 9.5638 Å
α = 80.99°, β = 80.99°, γ = 60.00°
Positions (direct):
Cl (0.2701, 0.2701, 0.1897)
W (0.7471, 0.7471, 0.7587)
W (0.9999, 0.9999, 0.0004)
Br (0.4829, 0.4829, 0.5512)

Summary:
M_tot: 0.00 μB per formula unit
energy above the most stable polymorph in this dataset: 0.0 meV per atom
space-group type: R3m, No. 160

=====

12.
This record from the Alexandria database describes a relaxed structure of MoOs2Rh. The functional is GGA-PBEsol.

a = 2.7034 Å, b = 2.7034 Å, c = 7.7605 Å
α = 90.00°, β = 90.00°, γ = 90.00°
Positions (direct):
Rh (0.0000, 0.0000, 0.4991)
Mo (0.5000, 0.5000, 0.7442)
Os (0.5000, 0.5000, 0.2448)
Os (0.0000, 0.0000, 0.0120)

Summary:
M_tot: 0.00 μB per formula unit
energy above the most stable polymorph in this dataset: 74.7 meV per atom
space-group type: P4mm, No. 99

=====

13.
This record from the Alexandria database describes a relaxed structure of ThNi. The functional is GGA-PBEsol.

a = 4.2388 Å, b = 5.5769 Å, c = 6.9578 Å
α = 90.00°, β = 90.00°, γ = 90.00°
Positions (direct):
Ni (0.7500, 0.6330, 0.0421)
Th (0.7500, 0.1355, 0.1810)
Ni (0.2500, 0.1330, 0.4579)
Ni (0.2500, 0.3670, 0.9579)
Th (0.7500, 0.3645, 0.6810)
Th (0.2500, 0.8645, 0.8190)
Th (0.2500, 0.6355, 0.3190)
Ni (0.7500, 0.8670, 0.5421)

Summary:
M_tot: 0.00 μB per formula unit
space-group type: Pnma, No. 62
total DFT energy (no corrections): -7.55 eV/atom